## MnCdRe2 (PBE)

Data for a geometry-optimized MnCdRe2 structure.

Computed properties:
ΔE_f ... 536.9 meV/atom
Space-group type ... I4/mmm

Structure (POSCAR):
```
MnCdRe2
1.0
5.0446 0.0008 0.0000
2.1792 4.5496 0.0000
-3.6119 -2.2752 2.6880
Mn Cd Re
1 1 2
Cartesian
2.5223 0.0004 1.3440 Mn
1.0896 2.2748 1.3440 Cd
0.0000 0.0000 0.0000 Re
3.6119 2.2752 0.0000 Re
```